[1]
! Dy2HoEr5, optimized geometry, DFT PBE-GGA; values from VASP
! Magnetic moment ... 0.0 μB/cell
! ΔH_f (0 K) ... 2.0 meV per atom
! VASP energy ... -4.57 eV per atom
! ΔE to the lowest computed polymorph ... 0.000 eV per atom
! Density ... 8.863 g/cm3
&SYSTEM
  ibrav = 0, nat = 16, ntyp = 3
/
ATOMIC_SPECIES
Er 167.26 Er.upf
Ho 164.93 Ho.upf
Dy 162.50 Dy.upf
ATOMIC_POSITIONS crystal
Er 0.458 0.186 0.667
Er 0.708 0.062 0.167
Ho 0.209 0.311 0.167
Er 0.959 0.938 0.666
Ho 0.791 0.689 0.833
Dy 0.291 0.437 0.834
Er 0.542 0.814 0.333
Er 0.459 0.689 0.666
Er 0.541 0.311 0.334
Dy 0.040 0.563 0.334
Er 0.209 0.814 0.167
Er 0.791 0.186 0.833
Dy 0.709 0.563 0.166
Er 0.041 0.062 0.334
Dy 0.960 0.437 0.666
Er 0.292 0.938 0.833
CELL_PARAMETERS angstrom
6.308 -0.606 1.883
-4.120 12.499 -1.270
4.528 -0.576 7.861

[2]
! Sr2LiCoCl, optimized geometry, DFT PBE-GGA; values from VASP
! Magnetic moment ... 0.1 μB/cell
! VASP energy ... -3.04 eV per atom
! Density ... 3.210 g/cm3
&SYSTEM
  ibrav = 0, nat = 5, ntyp = 4
/
ATOMIC_SPECIES
Cl 35.45 Cl.upf
Sr 87.62 Sr.upf
Li 6.94 Li.upf
Co 58.93 Co.upf
ATOMIC_POSITIONS crystal
Cl 0.500 0.500 0.500
Sr 0.500 0.000 0.000
Li 0.000 0.500 0.000
Co 0.000 0.000 0.000
Sr 0.000 0.000 0.500
CELL_PARAMETERS angstrom
5.664 0.000 0.000
0.000 4.459 0.000
0.000 0.000 5.664

[3]
! K4I2F, optimized geometry, DFT PBE-GGA; values from VASP
! Magnetic moment ... 0.0 μB/cell
! VASP energy ... -2.86 eV per atom
! Density ... 2.362 g/cm3
&SYSTEM
  ibrav = 0, nat = 7, ntyp = 3
/
ATOMIC_SPECIES
I 126.90 I.upf
K 39.10 K.upf
F 19.00 F.upf
ATOMIC_POSITIONS crystal
I 0.611 0.611 0.779
K 0.500 0.000 0.000
F 0.000 0.000 0.000
K 0.173 0.173 0.655
K 0.827 0.827 0.345
I 0.389 0.389 0.221
K 0.000 0.500 0.000
CELL_PARAMETERS angstrom
-0.914 -0.032 -5.108
-0.669 -5.143 0.152
-11.727 -1.107 -0.531

[4]
! Mo3Cl, optimized geometry, DFT PBE-GGA; values from VASP
! Magnetic moment ... 0.0 μB/cell
! VASP energy ... -7.85 eV per atom
! ΔE to the lowest computed polymorph ... 0.478 eV per atom
! Density ... 8.570 g/cm3
&SYSTEM
  ibrav = 0, nat = 4, ntyp = 2
/
ATOMIC_SPECIES
Cl 35.45 Cl.upf
Mo 95.94 Mo.upf
ATOMIC_POSITIONS crystal
Cl 0.000 0.000 0.000
Mo 0.000 0.500 0.500
Mo 0.500 0.000 0.500
Mo 0.500 0.500 0.000
CELL_PARAMETERS angstrom
4.609 0.000 0.000
0.000 4.609 0.000
0.000 0.000 2.948

> VASP energy of number 3 (K4I2F)?

-2.86 eV per atom

> Which value of density does entry 3 give?

2.362 g/cm3